Record 1
A geometry-optimized LiTaBr2 structure, computed with PBE.

Summary:
Uncorrected energy   -4.426 eV/atom
Magnetic moment   0.00 μB/f.u.
Density of states at the Fermi level   2.734 states/eV per cell

Geometry as POSCAR:
```
LiTaBr2
1.0
-6.999 4.189 1.390
-6.626 2.570 4.237
-5.027 5.408 3.734
Br Li Ta
2 1 1
Cartesian
-18.608 12.139 9.338
-9.371 6.113 4.703
-4.663 3.042 2.340
-13.989 9.126 7.021
```

Record 2
A geometry-optimized PmInPt5 structure, computed with PBE.

Summary:
Uncorrected energy   -6.056 eV/atom
Magnetic moment   0.00 μB/f.u.
Density of states at the Fermi level   14.792 states/eV per cell

Geometry as POSCAR:
```
PmInPt5
1.0
5.345 0.000 0.000
0.000 8.897 0.000
0.000 0.000 11.101
Pt Pm In
20 4 4
Cartesian
2.702 3.865 2.239
2.702 8.314 3.312
0.029 0.584 7.789
1.336 4.131 4.628
4.009 7.205 8.226
4.009 0.318 10.178
1.336 1.693 2.875
5.317 8.314 3.312
4.009 4.767 6.474
5.317 3.865 2.239
4.009 2.756 8.426
1.336 6.141 2.675
1.336 8.580 0.923
2.644 5.032 8.863
4.009 3.682 10.976
2.644 0.584 7.789
1.336 5.216 0.126
0.029 5.032 8.863
4.009 8.130 5.676
1.336 0.767 5.425
1.336 6.676 6.247
4.009 6.670 0.696
4.009 2.221 4.854
1.336 2.227 10.405
1.336 3.147 7.100
4.009 1.302 1.549
4.009 5.750 4.001
1.336 7.596 9.552
```

Record 3
A geometry-optimized Ac2Sm9Tm structure, computed with PBE.

Summary:
Uncorrected energy   -4.561 eV/atom
Magnetic moment   0.00 μB/f.u.
Density of states at the Fermi level   20.665 states/eV per cell

Geometry as POSCAR:
```
Ac2Sm9Tm
1.0
5.195 0.000 0.000
0.000 5.195 0.000
0.000 0.000 15.599
Sm Ac Tm
9 2 1
Cartesian
0.000 2.598 7.799
2.598 0.000 13.114
2.598 2.598 5.142
2.598 2.598 10.457
2.598 0.000 2.485
0.000 2.598 13.114
2.598 0.000 7.799
0.000 2.598 2.485
2.598 2.598 0.000
0.000 0.000 5.153
0.000 0.000 10.446
0.000 0.000 0.000
```

Record 4
A geometry-optimized LaPm2Er12 structure, computed with PBE.

Summary:
Uncorrected energy   -4.300 eV/atom
Magnetic moment   0.00 μB/f.u.
Density of states at the Fermi level   50.082 states/eV per cell

Geometry as POSCAR:
```
LaPm2Er12
1.0
-1.302 3.871 -4.905
-5.046 2.304 3.157
14.457 17.739 10.162
Er Pm La
24 4 2
Cartesian
10.059 19.500 5.936
4.496 12.123 6.971
-0.078 5.197 -1.553
11.384 17.257 7.967
1.908 12.568 2.510
4.475 9.227 4.691
-2.798 5.238 2.245
3.149 3.864 2.214
3.027 14.432 5.031
6.333 14.753 5.809
1.740 11.006 5.474
9.034 17.892 10.201
-0.101 3.569 1.321
8.133 16.962 7.075
4.949 6.073 3.479
6.808 11.599 4.597
5.339 13.908 2.657
11.307 13.874 7.949
7.710 20.135 8.170
1.775 9.160 2.605
-2.775 6.865 -0.629
-0.025 6.952 1.340
4.642 10.789 1.727
9.507 11.666 6.683
9.816 14.779 4.906
3.338 6.830 0.352
7.944 13.996 8.937
1.466 6.047 4.383
-0.651 1.936 -2.453
-2.523 1.152 1.579
```